Record 1
First-principles (GGA-PBE) data for NaLaTbPb after structural relaxation, as listed in Alexandria via LeMat-Bulk.

a = 7.8488 Å, b = 7.8488 Å, c = 7.8488 Å
α = 90.00°, β = 90.00°, γ = 90.00°
Space group F-43m (No. 216)
Symmetry-distinct sites (fractional):
Na1 0.0000 0.0000 0.0000
La1 0.2500 0.2500 0.2500
Tb1 0.2500 0.2500 0.7500
Pb1 0.0000 0.0000 0.5000

Calculated values
Volume ... 30.22 A^3/atom
Mass density ... 7.3 Mg/m³
E_form ... -205.1 meV per atom
Total energy ... -3.85 eV per atom
Spin magnetization ... 0.0 μB/f.u.

***

Record 2
First-principles (GGA-PBE) data for NaLa2Te4Pb after structural relaxation, as listed in Alexandria via LeMat-Bulk.

a = 7.9202 Å, b = 4.5775 Å, c = 8.1068 Å
α = 90.00°, β = 108.83°, γ = 90.00°
Space group P2/m (No. 10)
Symmetry-distinct sites (fractional):
Na1 0.0000 0.0000 0.0000
La1 0.0000 0.5000 0.5000
La2 0.5000 0.0000 0.5000
Te1 0.2484 0.0000 0.7502
Te2 0.2508 0.5000 0.2525
Pb1 0.5000 0.5000 0.0000

Calculated values
Volume ... 34.77 A^3/atom
Mass density ... 6.1 Mg/m³
Total energy ... -4.59 eV per atom
Spin magnetization ... 0.0 μB/f.u.
E_form (uncorrected) ... -1.16 eV per atom

***

Record 3
First-principles (GGA-PBE) data for Na2LaTlPb2 after structural relaxation, as listed in Alexandria via LeMat-Bulk.

a = 4.8111 Å, b = 9.7315 Å, c = 8.0766 Å
α = 90.00°, β = 90.00°, γ = 90.00°
Space group Pmc2_1 (No. 26)
Symmetry-distinct sites (fractional):
Na1 0.0000 0.0688 0.0000
Na2 0.5000 0.1722 0.3090
La1 0.5000 0.4471 0.9239
Tl1 0.0000 0.3179 0.5960
Pb1 0.0000 0.3722 0.2046
Pb2 0.5000 0.1487 0.7155

Calculated values
Volume ... 31.51 A^3/atom
Mass density ... 7.1 Mg/m³
E_form ... -278.1 meV per atom
Total energy ... -3.17 eV per atom
Spin magnetization ... 0.0 μB/f.u.

***

Please write out number 1 again, unchanged.
First-principles (GGA-PBE) data for NaLaTbPb after structural relaxation, as listed in Alexandria via LeMat-Bulk.

a = 7.8488 Å, b = 7.8488 Å, c = 7.8488 Å
α = 90.00°, β = 90.00°, γ = 90.00°
Space group F-43m (No. 216)
Symmetry-distinct sites (fractional):
Na1 0.0000 0.0000 0.0000
La1 0.2500 0.2500 0.2500
Tb1 0.2500 0.2500 0.7500
Pb1 0.0000 0.0000 0.5000

Calculated values
Volume ... 30.22 A^3/atom
Mass density ... 7.3 Mg/m³
E_form ... -205.1 meV per atom
Total energy ... -3.85 eV per atom
Spin magnetization ... 0.0 μB/f.u.

***

Q: What is the mass density in the third record?
A: 7.1 Mg/m³

***

Q: What is the formula in the second record?
A: NaLa2Te4Pb

***

Q: The highest volume belongs to which entry?
A: NaLa2Te4Pb